Record 1
# KTl3S8 | Alexandria | PBE | relaxed
data_KTl3S8
_chemical_formula_sum 'K1 Tl3 S8'
_space_group_name_H-M_alt 'P 1'
_space_group_IT_number 1
_space_group_name_Hall 'P 1'
_cell_length_a 7.820
_cell_length_b 7.924
_cell_length_c 7.815
_cell_angle_alpha 63.24
_cell_angle_beta 85.01
_cell_angle_gamma 116.78
loop_
_atom_site_label
_atom_site_type_symbol
_atom_site_fract_x
_atom_site_fract_y
_atom_site_fract_z
K1 K 0.995 0.000 0.005
Tl1 Tl 0.715 0.500 0.785
Tl2 Tl 0.215 0.500 0.285
Tl3 Tl 0.504 0.000 0.496
S1 S 0.023 0.000 0.428
S2 S 0.445 0.447 0.555
S3 S 0.998 0.553 0.002
S4 S 0.572 0.000 0.977
S5 S 0.820 0.000 0.611
S6 S 0.625 0.425 0.375
S7 S 0.199 0.575 0.801
S8 S 0.389 0.000 0.180
# energy relative to the elements, uncorrected	-153.0	meV per atom
# space group	Fmm2
# crystal system	orthorhombic
# D(E_F)	9.6	states/eV per cell


Record 2
# K3Tm2TlS6 | Alexandria | PBE | relaxed
data_K3Tm2TlS6
_chemical_formula_sum 'K3 Tm2 Tl1 S6'
_space_group_name_H-M_alt 'P 1'
_space_group_IT_number 1
_space_group_name_Hall 'P 1'
_cell_length_a 6.952
_cell_length_b 6.952
_cell_length_c 7.745
_cell_angle_alpha 98.60
_cell_angle_beta 98.60
_cell_angle_gamma 119.98
loop_
_atom_site_label
_atom_site_type_symbol
_atom_site_fract_x
_atom_site_fract_y
_atom_site_fract_z
K1 K 0.164 0.836 0.500
K2 K 0.836 0.164 0.500
K3 K 0.500 0.500 0.500
Tm1 Tm 0.333 0.667 0.000
Tm2 Tm 0.667 0.333 0.000
Tl1 Tl 0.000 0.000 0.000
S1 S 0.933 0.593 0.798
S2 S 0.728 0.728 0.202
S3 S 0.067 0.407 0.202
S4 S 0.593 0.933 0.798
S5 S 0.272 0.272 0.798
S6 S 0.407 0.067 0.202
# energy relative to the elements, uncorrected	-1422.8	meV per atom
# space group	C2/m
# crystal system	monoclinic


Record 3
# KUTl2S6 | Alexandria | PBE | relaxed
data_KUTl2S6
_chemical_formula_sum 'K2 U2 Tl4 S12'
_space_group_name_H-M_alt 'P 1'
_space_group_IT_number 1
_space_group_name_Hall 'P 1'
_cell_length_a 7.258
_cell_length_b 7.167
_cell_length_c 11.042
_cell_angle_alpha 90.00
_cell_angle_beta 94.20
_cell_angle_gamma 90.00
loop_
_atom_site_label
_atom_site_type_symbol
_atom_site_fract_x
_atom_site_fract_y
_atom_site_fract_z
K1 K 0.500 0.000 0.000
K2 K 0.000 0.500 0.500
U1 U 0.500 0.000 0.500
U2 U 0.000 0.500 0.000
Tl1 Tl 0.950 0.985 0.267
Tl2 Tl 0.450 0.515 0.767
Tl3 Tl 0.050 0.015 0.733
Tl4 Tl 0.550 0.485 0.233
S1 S 0.319 0.625 0.062
S2 S 0.819 0.875 0.562
S3 S 0.681 0.375 0.938
S4 S 0.181 0.125 0.438
S5 S 0.418 0.690 0.412
S6 S 0.918 0.810 0.912
S7 S 0.582 0.310 0.588
S8 S 0.082 0.190 0.088
S9 S 0.895 0.622 0.218
S10 S 0.395 0.878 0.718
S11 S 0.105 0.378 0.782
S12 S 0.605 0.122 0.282
# energy relative to the elements, uncorrected	-635.7	meV per atom
# space group	P2_1/c
# crystal system	monoclinic
# D(E_F)	12.5	states/eV per cell


Record 4
# K3UTl2S6 | Alexandria | PBE | relaxed
data_K3UTl2S6
_chemical_formula_sum 'K3 U1 Tl2 S6'
_space_group_name_H-M_alt 'P 1'
_space_group_IT_number 1
_space_group_name_Hall 'P 1'
_cell_length_a 7.414
_cell_length_b 7.414
_cell_length_c 7.594
_cell_angle_alpha 99.51
_cell_angle_beta 99.51
_cell_angle_gamma 119.71
loop_
_atom_site_label
_atom_site_type_symbol
_atom_site_fract_x
_atom_site_fract_y
_atom_site_fract_z
K1 K 0.178 0.822 0.500
K2 K 0.822 0.178 0.500
K3 K 0.500 0.500 0.500
U1 U 0.000 0.000 0.000
Tl1 Tl 0.335 0.665 0.000
Tl2 Tl 0.665 0.335 0.000
S1 S 0.931 0.644 0.792
S2 S 0.788 0.788 0.209
S3 S 0.069 0.356 0.208
S4 S 0.644 0.931 0.792
S5 S 0.212 0.212 0.791
S6 S 0.356 0.069 0.208
# energy relative to the elements, uncorrected	-986.1	meV per atom
# space group	C2/m
# crystal system	monoclinic
# D(E_F)	6.4	states/eV per cell


Record 5
# K2UTl3S6 | Alexandria | PBE | relaxed
data_K2UTl3S6
_chemical_formula_sum 'K2 U1 Tl3 S6'
_space_group_name_H-M_alt 'P 1'
_space_group_IT_number 1
_space_group_name_Hall 'P 1'
_cell_length_a 7.894
_cell_length_b 7.894
_cell_length_c 7.395
_cell_angle_alpha 101.35
_cell_angle_beta 101.35
_cell_angle_gamma 123.32
loop_
_atom_site_label
_atom_site_type_symbol
_atom_site_fract_x
_atom_site_fract_y
_atom_site_fract_z
K1 K 0.330 0.670 0.000
K2 K 0.670 0.330 0.000
U1 U 0.000 0.000 0.000
Tl1 Tl 0.158 0.842 0.500
Tl2 Tl 0.842 0.158 0.500
Tl3 Tl 0.500 0.500 0.500
S1 S 0.909 0.643 0.774
S2 S 0.801 0.801 0.211
S3 S 0.091 0.357 0.226
S4 S 0.643 0.909 0.774
S5 S 0.199 0.199 0.789
S6 S 0.357 0.091 0.226
# energy relative to the elements, uncorrected	-867.5	meV per atom
# space group	C2/m
# crystal system	monoclinic
# D(E_F)	2.6	states/eV per cell


Record 6
# KU2Tl2S7 | Alexandria | PBE | relaxed
data_KU2Tl2S7
_chemical_formula_sum 'K1 U2 Tl2 S7'
_space_group_name_H-M_alt 'P 1'
_space_group_IT_number 1
_space_group_name_Hall 'P 1'
_cell_length_a 5.189
_cell_length_b 5.189
_cell_length_c 13.617
_cell_angle_alpha 79.17
_cell_angle_beta 79.17
_cell_angle_gamma 89.99
loop_
_atom_site_label
_atom_site_type_symbol
_atom_site_fract_x
_atom_site_fract_y
_atom_site_fract_z
K1 K 0.000 0.000 0.000
U1 U 0.598 0.598 0.802
U2 U 0.402 0.402 0.198
Tl1 Tl 0.811 0.811 0.371
Tl2 Tl 0.189 0.189 0.629
S1 S 0.500 0.500 0.000
S2 S 0.312 0.312 0.385
S3 S 0.688 0.688 0.615
S4 S 0.905 0.404 0.192
S5 S 0.404 0.905 0.192
S6 S 0.596 0.095 0.808
S7 S 0.095 0.596 0.808
# energy relative to the elements, uncorrected	-1015.2	meV per atom
# space group	C2/m
# crystal system	monoclinic
# D(E_F)	8.0	states/eV per cell


Record 7
# K2U3TlS8 | Alexandria | PBE | relaxed
data_K2U3TlS8
_chemical_formula_sum 'K2 U3 Tl1 S8'
_space_group_name_H-M_alt 'P 1'
_space_group_IT_number 1
_space_group_name_Hall 'P 1'
_cell_length_a 8.159
_cell_length_b 8.159
_cell_length_c 9.017
_cell_angle_alpha 63.10
_cell_angle_beta 63.10
_cell_angle_gamma 60.00
loop_
_atom_site_label
_atom_site_type_symbol
_atom_site_fract_x
_atom_site_fract_y
_atom_site_fract_z
K1 K 0.132 0.132 0.605
K2 K 0.499 0.499 0.504
U1 U 0.499 0.000 0.002
U2 U 0.000 0.499 0.002
U3 U 0.499 0.499 0.002
Tl1 Tl 0.875 0.875 0.374
S1 S 0.271 0.271 0.188
S2 S 0.726 0.726 0.823
S3 S 0.243 0.243 0.820
S4 S 0.693 0.243 0.820
S5 S 0.243 0.693 0.820
S6 S 0.756 0.302 0.187
S7 S 0.302 0.756 0.187
S8 S 0.756 0.756 0.187
# energy relative to the elements, uncorrected	-1268.8	meV per atom
# space group	R3m
# crystal system	trigonal
# D(E_F)	15.1	states/eV per cell


Record 8
# KUTl2S4 | Alexandria | PBE | relaxed
data_KUTl2S4
_chemical_formula_sum 'K1 U1 Tl2 S4'
_space_group_name_H-M_alt 'P 1'
_space_group_IT_number 1
_space_group_name_Hall 'P 1'
_cell_length_a 4.129
_cell_length_b 7.750
_cell_length_c 7.599
_cell_angle_alpha 71.26
_cell_angle_beta 90.00
_cell_angle_gamma 90.00
loop_
_atom_site_label
_atom_site_type_symbol
_atom_site_fract_x
_atom_site_fract_y
_atom_site_fract_z
K1 K 0.500 0.500 0.000
U1 U 0.000 0.500 0.500
Tl1 Tl 0.000 0.000 0.000
Tl2 Tl 0.500 0.000 0.500
S1 S 0.000 0.704 0.701
S2 S 0.000 0.296 0.299
S3 S 0.500 0.700 0.300
S4 S 0.500 0.300 0.700
# energy relative to the elements, uncorrected	-964.7	meV per atom
# space group	P2/m
# crystal system	monoclinic
# D(E_F)	5.1	states/eV per cell


Record 9
# K3U2TlS6 | Alexandria | PBE | relaxed
data_K3U2TlS6
_chemical_formula_sum 'K3 U2 Tl1 S6'
_space_group_name_H-M_alt 'P 1'
_space_group_IT_number 1
_space_group_name_Hall 'P 1'
_cell_length_a 4.119
_cell_length_b 8.991
_cell_length_c 9.618
_cell_angle_alpha 103.76
_cell_angle_beta 102.36
_cell_angle_gamma 90.00
loop_
_atom_site_label
_atom_site_type_symbol
_atom_site_fract_x
_atom_site_fract_y
_atom_site_fract_z
K1 K 0.500 0.500 0.000
K2 K 0.847 0.158 0.694
K3 K 0.153 0.842 0.306
U1 U 0.830 0.661 0.660
U2 U 0.170 0.339 0.340
Tl1 Tl 0.500 0.000 0.000
S1 S 0.324 0.858 0.648
S2 S 0.678 0.552 0.357
S3 S 0.676 0.142 0.352
S4 S 0.030 0.269 0.059
S5 S 0.970 0.731 0.941
S6 S 0.322 0.448 0.643
# energy relative to the elements, uncorrected	-1269.6	meV per atom
# space group	C2/m
# crystal system	monoclinic
# D(E_F)	12.6	states/eV per cell


Record 10
# KU3Tl4S12 | Alexandria | PBE | relaxed
data_KU3Tl4S12
_chemical_formula_sum 'K1 U3 Tl4 S12'
_space_group_name_H-M_alt 'P 1'
_space_group_IT_number 1
_space_group_name_Hall 'P 1'
_cell_length_a 9.136
_cell_length_b 9.136
_cell_length_c 9.136
_cell_angle_alpha 109.47
_cell_angle_beta 109.47
_cell_angle_gamma 109.47
loop_
_atom_site_label
_atom_site_type_symbol
_atom_site_fract_x
_atom_site_fract_y
_atom_site_fract_z
K1 K 0.000 0.000 0.000
U1 U 0.500 0.000 0.500
U2 U 0.500 0.500 0.000
U3 U 0.000 0.500 0.500
Tl1 Tl 0.500 0.500 0.500
Tl2 Tl 0.000 0.000 0.500
Tl3 Tl 0.500 0.000 0.000
Tl4 Tl 0.000 0.500 0.000
S1 S 0.250 0.500 0.750
S2 S 0.727 0.000 0.727
S3 S 0.273 0.000 0.273
S4 S 0.750 0.500 0.250
S5 S 0.727 0.727 0.000
S6 S 0.273 0.273 0.000
S7 S 0.750 0.250 0.500
S8 S 0.250 0.750 0.500
S9 S 0.500 0.250 0.750
S10 S 0.000 0.727 0.727
S11 S 0.500 0.750 0.250
S12 S 0.000 0.273 0.273
# energy relative to the elements, uncorrected	-806.8	meV per atom
# space group	Im-3m
# crystal system	cubic
# D(E_F)	9.8	states/eV per cell


Record 11
# K2TlVS4 | Alexandria | PBE | relaxed
data_K2TlVS4
_chemical_formula_sum 'K2 Tl1 V1 S4'
_space_group_name_H-M_alt 'P 1'
_space_group_IT_number 1
_space_group_name_Hall 'P 1'
_cell_length_a 6.870
_cell_length_b 6.870
_cell_length_c 6.870
_cell_angle_alpha 108.36
_cell_angle_beta 110.03
_cell_angle_gamma 110.03
loop_
_atom_site_label
_atom_site_type_symbol
_atom_site_fract_x
_atom_site_fract_y
_atom_site_fract_z
K1 K 0.500 0.750 0.250
K2 K 0.000 0.000 0.000
Tl1 Tl 0.500 0.250 0.750
V1 V 0.000 0.500 0.500
S1 S 0.678 0.487 0.496
S2 S 0.009 0.192 0.513
S3 S 0.991 0.504 0.182
S4 S 0.322 0.818 0.808
# energy relative to the elements, uncorrected	-925.0	meV per atom
# space group	I-4
# crystal system	tetragonal


Record 12
# KTlVS4 | Alexandria | PBE | relaxed
data_KTlVS4
_chemical_formula_sum 'K2 Tl2 V2 S8'
_space_group_name_H-M_alt 'P 1'
_space_group_IT_number 1
_space_group_name_Hall 'P 1'
_cell_length_a 6.752
_cell_length_b 6.752
_cell_length_c 9.667
_cell_angle_alpha 90.00
_cell_angle_beta 90.00
_cell_angle_gamma 117.69
loop_
_atom_site_label
_atom_site_type_symbol
_atom_site_fract_x
_atom_site_fract_y
_atom_site_fract_z
K1 K 0.805 0.195 0.250
K2 K 0.195 0.805 0.750
Tl1 Tl 0.500 0.500 0.500
Tl2 Tl 0.500 0.500 0.000
V1 V 0.149 0.851 0.250
V2 V 0.851 0.149 0.750
S1 S 0.218 0.300 0.750
S2 S 0.700 0.782 0.750
S3 S 0.749 0.251 0.932
S4 S 0.749 0.251 0.568
S5 S 0.251 0.749 0.068
S6 S 0.251 0.749 0.432
S7 S 0.782 0.700 0.250
S8 S 0.300 0.218 0.250
# energy relative to the elements, uncorrected	-713.5	meV per atom
# space group	Cmcm
# crystal system	orthorhombic
# D(E_F)	3.1	states/eV per cell


Number 1: total magnetic moment 0.000 μB/atom, VASP energy -3.588 eV/atom, volume 29.96 Å³/atom. Number 2: total magnetic moment 0.000 μB/atom, VASP energy -4.703 eV/atom, volume 25.79 Å³/atom. Number 3: total magnetic moment 0.000 μB/atom, VASP energy -4.824 eV/atom, volume 28.64 Å³/atom. Number 4: total magnetic moment 0.000 μB/atom, VASP energy -4.659 eV/atom, volume 28.53 Å³/atom. Number 5: total magnetic moment 0.000 μB/atom, VASP energy -4.646 eV/atom, volume 29.20 Å³/atom. Number 6: total magnetic moment 0.086 μB/atom, VASP energy -5.790 eV/atom, volume 29.46 Å³/atom. Number 7: total magnetic moment 0.357 μB/atom, VASP energy -6.372 eV/atom, volume 31.66 Å³/atom. Number 8: total magnetic moment 0.125 μB/atom, VASP energy -5.168 eV/atom, volume 28.79 Å³/atom. Number 9: total magnetic moment 0.333 μB/atom, VASP energy -5.686 eV/atom, volume 28.13 Å³/atom. Number 10: total magnetic moment 0.000 μB/atom, VASP energy -5.505 eV/atom, volume 29.35 Å³/atom. Number 11: total magnetic moment 0.000 μB/atom, VASP energy -4.699 eV/atom, volume 31.20 Å³/atom. Number 12: total magnetic moment 0.000 μB/atom, VASP energy -4.870 eV/atom, volume 27.88 Å³/atom.